[1]
{"formula": "Zr2Tl", "functional": "PBE", "state": "relaxed", "lattice": [[5.7903, -1.6254, 0.0000], [5.7903, 1.6254, 0.0000], [-1.9101, 0.0000, 7.4714]], "species": ["Zr", "Zr", "Zr", "Zr", "Tl", "Tl"], "frac_coords": [[0.0000, 0.0000, 0.0000], [0.0437, 0.0437, 0.6051], [0.3216, 0.3216, 0.6526], [0.6609, 0.6609, 0.3240], [0.3867, 0.3867, 0.2778], [0.7194, 0.7194, 0.9348]], "density_g_cm3": 9.1, "formation_enthalpy_0k_ev_per_atom": 0.0211, "spacegroup": "Cm (8)", "total_magnetization_mub_per_fu": 0.00, "dos_ef_per_ev_fu": 3.71, "dft_energy_ev_per_cell": -38.80}

***

[2]
{"formula": "Ac2Sb3Pd2", "functional": "PBE", "state": "relaxed", "lattice": [[5.5912, -2.2976, 0.0000], [5.5912, 2.2976, 0.0000], [-2.3797, 0.0000, 7.2876]], "species": ["Ac", "Ac", "Sb", "Sb", "Sb", "Pd", "Pd"], "frac_coords": [[0.1434, 0.1434, 0.2907], [0.8566, 0.8566, 0.7093], [0.3818, 0.3818, 0.0505], [0.5000, 0.5000, 0.5000], [0.6182, 0.6182, 0.9495], [0.1529, 0.1529, 0.7622], [0.8471, 0.8471, 0.2378]], "density_g_cm3": 9.2, "spacegroup": "C2/m (12)", "total_magnetization_mub_per_fu": 0.00, "e_form_raw_ev_per_atom": -0.80, "dos_ef_per_ev_fu": 2.56, "dft_energy_ev_per_cell": -36.57}

***

[3]
{"formula": "Al2Cr", "functional": "PBE", "state": "relaxed", "lattice": [[5.8655, 0.0000, 0.0000], [0.0000, 7.1423, 0.0000], [0.0000, 0.0000, 2.5723]], "species": ["Al", "Al", "Al", "Al", "Cr", "Cr"], "frac_coords": [[0.2376, 0.2354, 0.0000], [0.2624, 0.7354, 0.5000], [0.7376, 0.2646, 0.5000], [0.7624, 0.7646, 0.0000], [0.0000, 0.0000, 0.5000], [0.5000, 0.5000, 0.0000]], "density_g_cm3": 3.3, "formation_enthalpy_0k_ev_per_atom": 0.4087, "spacegroup": "Pnnm (58)", "total_magnetization_mub_per_fu": 0.42, "dos_ef_per_ev_fu": 1.96, "dft_energy_ev_per_cell": -31.77}

***

[4]
{"formula": "PrZnFeH6", "functional": "PBE", "state": "relaxed", "lattice": [[4.4869, 0.0000, 0.0000], [-2.2435, 3.8858, 0.0000], [0.0000, 0.0000, 4.3844]], "species": ["Pr", "Zn", "Fe", "H", "H", "H", "H", "H", "H"], "frac_coords": [[0.0000, 0.0000, 0.0000], [0.6667, 0.3333, 0.5000], [0.3333, 0.6667, 0.5000], [0.0387, 0.5193, 0.2438], [0.0387, 0.5193, 0.7562], [0.4807, 0.5193, 0.2438], [0.4807, 0.5193, 0.7562], [0.4807, 0.9613, 0.2438], [0.4807, 0.9613, 0.7562]], "density_g_cm3": 5.8, "spacegroup": "P-6m2 (187)", "total_magnetization_mub_per_fu": 0.00, "dos_ef_per_ev_fu": 2.04, "dft_energy_ev_per_cell": -36.99}

***

[5]
{"formula": "Li2DyTiSe4", "functional": "PBE", "state": "relaxed", "lattice": [[6.7460, 0.0000, 0.0000], [0.0000, 3.8775, 0.0000], [-2.2434, 0.0000, 6.4721]], "species": ["Li", "Li", "Dy", "Ti", "Se", "Se", "Se", "Se"], "frac_coords": [[0.0000, 0.0000, 0.0000], [0.5000, 0.5000, 0.0000], [0.0000, 0.5000, 0.5000], [0.5000, 0.0000, 0.5000], [0.2687, 0.0000, 0.7513], [0.2705, 0.5000, 0.2599], [0.7295, 0.5000, 0.7401], [0.7313, 0.0000, 0.2487]], "density_g_cm3": 5.3, "spacegroup": "P2/m (10)", "total_magnetization_mub_per_fu": 1.01, "e_form_raw_ev_per_atom": -1.41, "dos_ef_per_ev_fu": 3.61, "dft_energy_ev_per_cell": -41.52}

***

[6]
{"formula": "IrS8Cl2", "functional": "PBE", "state": "relaxed", "lattice": [[7.5923, -3.0177, 0.0000], [7.5923, 3.0177, 0.0000], [-4.1258, 0.0000, 7.0354]], "species": ["Ir", "S", "S", "S", "S", "S", "S", "S", "S", "Cl", "Cl"], "frac_coords": [[0.0000, 0.0000, 0.0000], [0.1256, 0.6388, 0.0069], [0.3261, 0.3261, 0.7953], [0.3612, 0.8744, 0.9931], [0.4488, 0.4488, 0.2181], [0.5512, 0.5512, 0.7819], [0.6388, 0.1256, 0.0069], [0.6739, 0.6739, 0.2047], [0.8744, 0.3612, 0.9931], [0.0936, 0.0936, 0.3406], [0.9064, 0.9064, 0.6594]], "density_g_cm3": 2.7, "spacegroup": "C2/m (12)", "total_magnetization_mub_per_fu": 0.00, "e_form_raw_ev_per_atom": 0.09, "dos_ef_per_ev_fu": 2.03, "dft_energy_ev_per_cell": -44.55}

***

[7]
{"formula": "Ce3Ga2Sn", "functional": "PBE", "state": "relaxed", "lattice": [[3.3400, 0.0000, 0.0000], [0.0000, 3.3400, 0.0000], [0.0000, 0.0000, 13.0984]], "species": ["Ce", "Ce", "Ce", "Ga", "Ga", "Sn"], "frac_coords": [[0.0000, 0.0000, 0.0000], [0.0000, 0.0000, 0.3181], [0.0000, 0.0000, 0.6819], [0.5000, 0.5000, 0.1602], [0.5000, 0.5000, 0.8398], [0.5000, 0.5000, 0.5000]], "density_g_cm3": 7.7, "formation_enthalpy_0k_ev_per_atom": -0.5220, "spacegroup": "P4/mmm (123)", "total_magnetization_mub_per_fu": 0.72, "dos_ef_per_ev_fu": 11.70, "dft_energy_ev_per_cell": -30.99}

***

[8]
{"formula": "ErPu3Te4", "functional": "PBE", "state": "relaxed", "lattice": [[4.4083, -6.2276, 0.0000], [4.4083, 6.2276, 0.0000], [0.0000, 0.0000, 4.4036]], "species": ["Er", "Pu", "Pu", "Pu", "Te", "Te", "Te", "Te"], "frac_coords": [[0.0000, 0.0000, 0.0000], [0.0000, 0.5000, 0.5000], [0.5000, 0.0000, 0.5000], [0.5000, 0.5000, 0.0000], [0.2446, 0.2446, 0.5000], [0.2475, 0.7525, 0.0000], [0.7525, 0.2475, 0.0000], [0.7554, 0.7554, 0.5000]], "density_g_cm3": 9.7, "spacegroup": "Cmmm (65)", "total_magnetization_mub_per_fu": 17.77, "e_form_raw_ev_per_atom": -1.14, "dos_ef_per_ev_fu": 32.31, "dft_energy_ev_per_cell": -69.22}